[1]
{
  "formula": "SbIrBr2",
  "functional": "PBE",
  "state": "relaxed",
  "lattice": [[3.229, 0.000, 0.000], [0.000, 4.738, 0.000], [0.000, 0.000, 5.682]],
  "species": ["Sb", "Ir", "Br", "Br"],
  "frac_coords": [[0.000, 0.000, 0.000], [0.500, 0.000, 0.500], [0.000, 0.500, 0.500], [0.500, 0.500, 0.000]],
  "polymorph_energy_mev_per_atom": 975,
  "dos_ef_per_ev_cell": 2.701
}

[2]
{
  "formula": "As2Ir",
  "functional": "PBE",
  "state": "relaxed",
  "lattice": [[4.489, 0.000, 0.000], [-2.245, 3.888, 0.000], [0.000, 0.000, 5.728]],
  "species": ["As", "As", "As", "As", "Ir", "Ir"],
  "frac_coords": [[0.000, 0.000, 0.000], [0.000, 0.000, 0.500], [0.333, 0.667, 0.250], [0.667, 0.333, 0.750], [0.333, 0.667, 0.750], [0.667, 0.333, 0.250]],
  "dft_energy_ev_per_atom": -5.751,
  "dos_ef_per_ev_cell": 4.494
}

[3]
{
  "formula": "CdSe2",
  "functional": "PBE",
  "state": "relaxed",
  "lattice": [[-1.721, 1.721, 5.526], [1.721, -1.721, 5.526], [1.721, 1.721, -5.526]],
  "species": ["Cd", "Se", "Se"],
  "frac_coords": [[0.000, 0.000, 0.000], [0.342, 0.342, 0.000], [0.658, 0.658, 0.000]],
  "dft_energy_ev_per_atom": -2.434,
  "dos_ef_per_ev_cell": 1.666
}

[4]
{
  "formula": "MgGaSe2N",
  "functional": "PBE",
  "state": "relaxed",
  "lattice": [[5.240, 0.000, 0.000], [0.000, 5.240, 0.000], [0.000, 0.000, 3.672]],
  "species": ["Mg", "Ga", "Se", "Se", "N"],
  "frac_coords": [[0.000, 0.000, 0.000], [0.500, 0.500, 0.500], [0.000, 0.500, 0.500], [0.500, 0.000, 0.500], [0.500, 0.500, 0.000]],
  "polymorph_energy_mev_per_atom": 0,
  "dos_ef_per_ev_cell": 2.314
}